[1]
K4HI2: relaxed, PBE.

Output
The calculation puts the density of states at the Fermi level at 0.290 states/eV per atom. The total DFT energy (no corrections) comes out at -2.356 eV per atom. For the magnetic moment, the calculation gives 0.00 μB/f.u.

Cell: 5.258 5.258 11.868 Å, 77.20 77.20 90.00°
Positions (direct):
1 I 0.391 0.391 0.218
2 I 0.609 0.609 0.782
3 H 0.000 0.000 0.000
4 K 0.171 0.171 0.657
5 K 0.829 0.829 0.343
6 K 0.000 0.500 0.000
7 K 0.500 0.000 0.000

***

[2]
K5H4I: relaxed, PBE.

Output
The calculation puts the density of states at the Fermi level at 0.000 states/eV per atom. The total DFT energy (no corrections) comes out at -2.470 eV per atom. For the magnetic moment, the calculation gives 0.06 μB/f.u.

Cell: 4.167 7.012 10.495 Å, 77.19 78.55 72.72°
Positions (direct):
1 K 0.210 0.910 0.669
2 K 0.790 0.090 0.331
3 K 0.402 0.366 0.830
4 K 0.000 0.500 0.500
5 K 0.598 0.634 0.170
6 H 0.603 0.204 0.591
7 H 0.176 0.388 0.261
8 H 0.824 0.612 0.739
9 H 0.397 0.796 0.409
10 I 0.000 0.000 0.000